VASP calculation (PBE) on a relaxed structure of Sr2MgAlPd2.

- calculated density (g/cm3) = 4.8
- E_tot (eV/atom) = -3.78
- SG = No. 72
- DOS at the Fermi energy (states/eV per cell) = 7.9
- magnetic moment (μB per atom) = 0.0000

a = 8.912 Å, b = 8.912 Å, c = 8.912 Å
α = 139.12°, β = 59.57°, γ = 138.63°
Element x y z (fractional)
Sr1 0.171 0.250 0.420
Sr2 0.329 0.750 0.079
Sr3 0.671 0.250 0.921
Sr4 0.829 0.750 0.580
Mg1 0.250 0.250 0.000
Mg2 0.750 0.750 0.000
Al1 0.250 0.750 0.500
Al2 0.750 0.250 0.500
Pd1 0.096 0.728 0.823
Pd2 0.404 0.228 0.632
Pd3 0.596 0.772 0.368
Pd4 0.904 0.272 0.177


VASP calculation (PBE) on a relaxed structure of Th2Ni16H.

- calculated density (g/cm3) = 9.6
- E_tot (eV/atom) = -5.99
- SG = No. 160
- DOS at the Fermi energy (states/eV per cell) = 24.0
- magnetic moment (μB per atom) = 0.2408

a = 6.274 Å, b = 6.274 Å, c = 6.274 Å
α = 83.64°, β = 83.64°, γ = 83.64°
Element x y z (fractional)
Th1 0.000 0.000 0.000
Th2 0.333 0.333 0.333
Ni1 0.004 0.004 0.506
Ni2 0.004 0.506 0.004
Ni3 0.153 0.662 0.662
Ni4 0.313 0.313 0.816
Ni5 0.313 0.816 0.313
Ni6 0.363 0.658 0.954
Ni7 0.363 0.954 0.658
Ni8 0.506 0.004 0.004
Ni9 0.658 0.363 0.954
Ni10 0.658 0.954 0.363
Ni11 0.662 0.153 0.662
Ni12 0.662 0.662 0.153
Ni13 0.734 0.734 0.734
Ni14 0.816 0.313 0.313
Ni15 0.954 0.363 0.658
Ni16 0.954 0.658 0.363
H1 0.608 0.608 0.608


VASP calculation (PBE) on a relaxed structure of CeTm2Th.

- calculated density (g/cm3) = 9.7
- E_tot (eV/atom) = -5.53
- SG = No. 156
- DOS at the Fermi energy (states/eV per cell) = 7.4
- magnetic moment (μB per atom) = 0.0035
- polymorph energy (0 for the lowest one) (meV per atom) = 0.0

a = 3.515 Å, b = 3.515 Å, c = 11.314 Å
α = 90.00°, β = 90.00°, γ = 120.00°
Element x y z (fractional)
Ce1 0.000 0.000 0.000
Tm1 0.000 0.000 0.505
Tm2 0.333 0.667 0.752
Th1 0.667 0.333 0.248


VASP calculation (PBE) on a relaxed structure of Ba8CdAu4.

- calculated density (g/cm3) = 5.8
- E_tot (eV/atom) = -2.75
- SG = No. 8
- DOS at the Fermi energy (states/eV per cell) = 12.0
- magnetic moment (μB per atom) = 0.0000

a = 10.673 Å, b = 10.673 Å, c = 15.228 Å
α = 130.14°, β = 130.14°, γ = 26.06°
Element x y z (fractional)
Ba1 0.000 0.000 0.000
Ba2 0.004 0.004 0.566
Ba3 0.073 0.073 0.351
Ba4 0.280 0.280 0.856
Ba5 0.349 0.349 0.641
Ba6 0.353 0.353 0.207
Ba7 0.638 0.638 0.915
Ba8 0.714 0.714 0.291
Cd1 0.676 0.676 0.604
Au1 0.356 0.356 0.428
Au2 0.489 0.489 0.145
Au3 0.864 0.864 0.063
Au4 0.997 0.997 0.778


VASP calculation (PBE) on a relaxed structure of Ho5Tl2Os.

- calculated density (g/cm3) = 8.5
- E_tot (eV/atom) = -4.80
- SG = No. 63
- DOS at the Fermi energy (states/eV per cell) = 13.1
- magnetic moment (μB per atom) = 0.0000
- polymorph energy (0 for the lowest one) (meV per atom) = 362.1

a = 8.676 Å, b = 8.676 Å, c = 12.367 Å
α = 90.00°, β = 90.00°, γ = 143.37°
Element x y z (fractional)
Ho1 0.072 0.928 0.604
Ho2 0.072 0.928 0.896
Ho3 0.295 0.705 0.576
Ho4 0.295 0.705 0.924
Ho5 0.296 0.704 0.250
Ho6 0.704 0.296 0.750
Ho7 0.705 0.295 0.076
Ho8 0.705 0.295 0.424
Ho9 0.928 0.072 0.104
Ho10 0.928 0.072 0.396
Tl1 0.119 0.881 0.131
Tl2 0.119 0.881 0.369
Tl3 0.881 0.119 0.631
Tl4 0.881 0.119 0.869
Os1 0.189 0.811 0.750
Os2 0.811 0.189 0.250


VASP calculation (PBE) on a relaxed structure of Y6In2Os.

- calculated density (g/cm3) = 6.3
- E_tot (eV/atom) = -6.51
- SG = No. 189
- DOS at the Fermi energy (states/eV per cell) = 10.5
- magnetic moment (μB per atom) = 0.0001

a = 8.557 Å, b = 8.557 Å, c = 3.956 Å
α = 90.00°, β = 90.00°, γ = 120.00°
Element x y z (fractional)
Y1 0.000 0.242 0.000
Y2 0.000 0.613 0.500
Y3 0.242 0.000 0.000
Y4 0.387 0.387 0.500
Y5 0.613 0.000 0.500
Y6 0.758 0.758 0.000
In1 0.333 0.667 0.000
In2 0.667 0.333 0.000
Os1 0.000 0.000 0.500


VASP calculation (PBE) on a relaxed structure of Pr7Sm4Ho.

- calculated density (g/cm3) = 6.9
- E_tot (eV/atom) = -4.73
- SG = No. 2
- DOS at the Fermi energy (states/eV per cell) = 17.6
- magnetic moment (μB per atom) = 0.0000
- polymorph energy (0 for the lowest one) (meV per atom) = 0.0

a = 6.409 Å, b = 7.382 Å, c = 9.162 Å
α = 90.05°, β = 103.54°, γ = 90.02°
Element x y z (fractional)
Pr1 0.000 0.000 0.000
Pr2 0.220 0.500 0.667
Pr3 0.280 0.750 0.332
Pr4 0.500 0.250 0.001
Pr5 0.500 0.750 0.999
Pr6 0.720 0.250 0.668
Pr7 0.780 0.500 0.333
Sm1 0.221 0.000 0.666
Sm2 0.278 0.250 0.330
Sm3 0.722 0.750 0.670
Sm4 0.779 0.000 0.334
Ho1 0.000 0.500 0.000


VASP calculation (PBE) on a relaxed structure of Ce2Y5Er12.

- calculated density (g/cm3) = 7.5
- E_tot (eV/atom) = -5.07
- SG = No. 12
- DOS at the Fermi energy (states/eV per cell) = 31.2
- magnetic moment (μB per atom) = 0.0586

a = 8.957 Å, b = 8.957 Å, c = 8.571 Å
α = 92.44°, β = 92.44°, γ = 61.07°
Element x y z (fractional)
Ce1 0.150 0.850 0.000
Ce2 0.850 0.150 0.000
Y1 0.215 0.215 0.037
Y2 0.268 0.268 0.436
Y3 0.500 0.500 0.500
Y4 0.732 0.732 0.564
Y5 0.785 0.785 0.963
Er1 0.058 0.058 0.343
Er2 0.059 0.676 0.314
Er3 0.175 0.534 0.761
Er4 0.324 0.941 0.686
Er5 0.433 0.433 0.128
Er6 0.466 0.825 0.239
Er7 0.534 0.175 0.761
Er8 0.567 0.567 0.872
Er9 0.676 0.059 0.314
Er10 0.825 0.466 0.239
Er11 0.941 0.324 0.686
Er12 0.942 0.942 0.657


VASP calculation (PBE) on a relaxed structure of PmHo5Th3.

- calculated density (g/cm3) = 8.7
- E_tot (eV/atom) = -5.00
- SG = No. 12
- DOS at the Fermi energy (states/eV per cell) = 27.8
- magnetic moment (μB per atom) = 0.0001

a = 7.507 Å, b = 7.507 Å, c = 12.309 Å
α = 95.03°, β = 95.03°, γ = 66.43°
Element x y z (fractional)
Pm1 0.139 0.139 0.267
Pm2 0.861 0.861 0.733
Ho1 0.061 0.672 0.225
Ho2 0.256 0.256 0.022
Ho3 0.328 0.672 0.000
Ho4 0.328 0.939 0.775
Ho5 0.445 0.445 0.378
Ho6 0.555 0.555 0.622
Ho7 0.672 0.061 0.225
Ho8 0.672 0.328 0.000
Ho9 0.744 0.744 0.978
Ho10 0.939 0.328 0.775
Th1 0.000 0.000 0.000
Th2 0.000 0.000 0.500
Th3 0.261 0.261 0.546
Th4 0.376 0.376 0.784
Th5 0.624 0.624 0.216
Th6 0.739 0.739 0.454


VASP calculation (PBE) on a relaxed structure of TlMoW2.

- calculated density (g/cm3) = 15.9
- E_tot (eV/atom) = -9.13
- SG = No. 71
- DOS at the Fermi energy (states/eV per cell) = 3.8
- magnetic moment (μB per atom) = 0.0000
- polymorph energy (0 for the lowest one) (meV per atom) = 143.3

a = 5.413 Å, b = 5.413 Å, c = 5.413 Å
α = 144.41°, β = 130.21°, γ = 62.69°
Element x y z (fractional)
Tl1 0.000 0.000 0.000
Mo1 0.500 0.500 0.000
W1 0.266 0.766 0.500
W2 0.734 0.234 0.500


VASP calculation (PBE) on a relaxed structure of Ce2As2P2Pd5.

- calculated density (g/cm3) = 7.2
- E_tot (eV/atom) = -5.74
- SG = No. 139
- DOS at the Fermi energy (states/eV per cell) = 13.0
- magnetic moment (μB per atom) = 0.1209

a = 15.503 Å, b = 15.503 Å, c = 15.503 Å
α = 165.38°, β = 165.38°, γ = 20.74°
Element x y z (fractional)
Ce1 0.213 0.213 0.000
Ce2 0.787 0.787 0.000
As1 0.078 0.078 0.000
As2 0.922 0.922 0.000
P1 0.312 0.312 0.000
P2 0.688 0.688 0.000
Pd1 0.000 0.000 0.000
Pd2 0.130 0.630 0.500
Pd3 0.370 0.870 0.500
Pd4 0.630 0.130 0.500
Pd5 0.870 0.370 0.500


VASP calculation (PBE) on a relaxed structure of Sr2Ca6Ru.

- calculated density (g/cm3) = 2.3
- E_tot (eV/atom) = -2.71
- SG = No. 225
- DOS at the Fermi energy (states/eV per cell) = 11.2
- magnetic moment (μB per atom) = 0.0000

a = 8.033 Å, b = 8.033 Å, c = 8.033 Å
α = 60.00°, β = 60.00°, γ = 60.00°
Element x y z (fractional)
Sr1 0.250 0.250 0.250
Sr2 0.750 0.750 0.750
Ca1 0.243 0.243 0.757
Ca2 0.243 0.757 0.243
Ca3 0.243 0.757 0.757
Ca4 0.757 0.243 0.243
Ca5 0.757 0.243 0.757
Ca6 0.757 0.757 0.243
Ru1 0.000 0.000 0.000